Record 1
The following is a PBE-GGA calculation of crystalline Tb5YAg4 at its relaxed geometry, from the Alexandria database.

```
Tb5YAg4
1.0
3.6278 0.0000 0.0000
0.0000 3.6278 0.0000
0.0000 0.0000 19.7432
Tb Y Ag
5 1 4
direct
0.0000 0.0000 0.0000
0.0000 0.0000 0.1879
0.0000 0.0000 0.3738
0.0000 0.0000 0.6262
0.0000 0.0000 0.8121
0.5000 0.5000 0.5000
0.5000 0.5000 0.0935
0.5000 0.5000 0.2811
0.5000 0.5000 0.7189
0.5000 0.5000 0.9065
```

Calculated values
Crystal system: tetragonal
Energy of formation from the pure elements (kcal/mol of atoms): -5.60
Mass density (g cm⁻³): 8.4
E (eV/atom): -4.34

---

Record 2
The following is a PBE-GGA calculation of crystalline TbYAg at its relaxed geometry, from the Alexandria database.

```
TbYAg
1.0
10.0446 0.0000 0.0000
0.0000 5.0421 0.0000
0.0000 0.0000 6.7438
Tb Y Ag
4 4 4
direct
0.2017 0.2500 0.1401
0.2983 0.7500 0.6401
0.7017 0.2500 0.3599
0.7983 0.7500 0.8599
0.0412 0.2500 0.6566
0.4588 0.7500 0.1566
0.5412 0.2500 0.8434
0.9588 0.7500 0.3434
0.0846 0.7500 0.9329
0.4154 0.2500 0.4329
0.5846 0.7500 0.5671
0.9154 0.2500 0.0671
```

Calculated values
Crystal system: orthorhombic
Energy of formation from the pure elements (kcal/mol of atoms): -1.91
Mass density (g cm⁻³): 6.9
E (eV/atom): -4.73

---

Record 3
The following is a PBE-GGA calculation of crystalline TbY5Ag4 at its relaxed geometry, from the Alexandria database.

```
TbY5Ag4
1.0
3.6199 0.0000 0.0000
0.0000 3.6199 0.0000
0.0000 0.0000 19.7161
Tb Y Ag
1 5 4
direct
0.0000 0.0000 0.0000
0.5000 0.5000 0.1258
0.5000 0.5000 0.3122
0.5000 0.5000 0.5000
0.5000 0.5000 0.6878
0.5000 0.5000 0.8742
0.0000 0.0000 0.2188
0.0000 0.0000 0.4066
0.0000 0.0000 0.5934
0.0000 0.0000 0.7812
```

Calculated values
Crystal system: tetragonal
Energy of formation from the pure elements (kcal/mol of atoms): -5.85
Mass density (g cm⁻³): 6.7
E (eV/atom): -5.09

---

Record 4
The following is a PBE-GGA calculation of crystalline Tb4Y3Ag at its relaxed geometry, from the Alexandria database.

```
Tb4Y3Ag
1.0
3.5670 0.0000 0.0000
0.0000 3.5670 0.0000
0.0000 0.0000 19.0697
Tb Y Ag
4 3 1
direct
0.0000 0.0000 0.1005
0.0000 0.0000 0.3674
0.0000 0.0000 0.6326
0.0000 0.0000 0.8995
0.5000 0.5000 0.2356
0.5000 0.5000 0.5000
0.5000 0.5000 0.7644
0.5000 0.5000 0.0000
```

Calculated values
Crystal system: tetragonal
Energy of formation from the pure elements (kcal/mol of atoms): -1.25
Mass density (g cm⁻³): 6.9
E (eV/atom): -5.15

---

Record 5
The following is a PBE-GGA calculation of crystalline TbY6Ag at its relaxed geometry, from the Alexandria database.

```
TbY6Ag
1.0
4.6813 2.7027 3.2531
-4.6813 2.7027 3.2531
0.0000 -5.4055 3.2531
Tb Y Ag
1 6 1
direct
0.0000 0.0000 0.0000
0.0707 0.5462 0.2632
0.2632 0.0707 0.5462
0.4538 0.7368 0.9293
0.5462 0.2632 0.0707
0.7368 0.9293 0.4538
0.9293 0.4538 0.7368
0.5000 0.5000 0.5000
```

Calculated values
Crystal system: trigonal
Energy of formation from the pure elements (kcal/mol of atoms): 0.82
Mass density (g cm⁻³): 5.4
E (eV/atom): -5.75

---

Record 6
The following is a PBE-GGA calculation of crystalline Tb3YAg2 at its relaxed geometry, from the Alexandria database.

```
Tb3YAg2
1.0
5.0990 0.0000 0.0000
0.0000 9.1415 0.0000
0.0000 0.0000 7.0140
Tb Y Ag
6 2 4
direct
0.0000 0.0651 0.0000
0.0000 0.3284 0.3615
0.0000 0.6716 0.8615
0.0000 0.9349 0.5000
0.5000 0.1698 0.6683
0.5000 0.8302 0.1683
0.5000 0.4368 0.0291
0.5000 0.5632 0.5291
0.0000 0.3512 0.7788
0.0000 0.6488 0.2788
0.5000 0.1506 0.2501
0.5000 0.8494 0.7501
```

Calculated values
Crystal system: orthorhombic
Energy of formation from the pure elements (kcal/mol of atoms): -4.62
Mass density (g cm⁻³): 7.9
E (eV/atom): -4.54